Computed, not measured: a relaxed structure of Hf2CoTeF at the PBE with a Hubbard U level of DFT.

Output
Raw total energy = -4.982 eV/atom
Total magnetic moment = 0.008 μB/cell

Cell: 5.319 5.319 4.415 Å, 90.00 90.00 90.00°
Atoms (fractional coordinates):
Hf  0.000  0.500  0.000
Hf  0.500  0.000  0.000
Co  0.000  0.000  0.500
Te  0.000  0.000  0.000
F  0.500  0.500  0.500